No. 1
Computed, not measured: Ba2ZnBi at its PBEsol-relaxed geometry at the meta-GGA SCAN level of DFT.

Properties
Crystal system   cubic
ΔE_f   -0.60 eV/atom
Density of states at the Fermi level   3.65 states/eV per cell

```
Ba2ZnBi
1.0
0.0000 4.1522 4.1522
4.1522 0.0000 4.1522
4.1522 4.1522 0.0000
Ba Zn Bi
2 1 1
Direct
0.2500 0.2500 0.2500
0.7500 0.7500 0.7500
0.0000 0.0000 0.0000
0.5000 0.5000 0.5000
```

=====

No. 2
Computed, not measured: BaZnBi2 at its PBEsol-relaxed geometry at the meta-GGA SCAN level of DFT.

Properties
Crystal system   tetragonal
ΔE_f   -0.55 eV/atom
Density of states at the Fermi level   2.37 states/eV per cell

```
BaZnBi2
1.0
-2.3037 2.3037 11.6765
2.3037 -2.3037 11.6765
2.3037 2.3037 -11.6765
Ba Zn Bi
2 2 4
Direct
0.1212 0.1212 0.0000
0.8788 0.8788 0.0000
0.2500 0.7500 0.5000
0.7500 0.2500 0.5000
0.0000 0.5000 0.5000
0.3217 0.3217 0.0000
0.5000 0.0000 0.5000
0.6783 0.6783 0.0000
```

=====

No. 3
Computed, not measured: Ba3Br at its PBEsol-relaxed geometry at the meta-GGA SCAN level of DFT.

Properties
Crystal system   trigonal
Energy relative to the elements, uncorrected   -882.0 meV per atom
Distance to the lowest polymorph of the same formula   0 meV per atom
Density of states at the Fermi level   3.37 states/eV per cell

```
Ba3Br
1.0
2.1841 1.2610 11.8563
-2.1841 1.2610 11.8563
0.0000 -2.5220 11.8563
Ba Br
3 1
Direct
0.0000 0.0000 0.0000
0.2306 0.2306 0.2306
0.7694 0.7694 0.7694
0.5000 0.5000 0.5000
```

=====

No. 4
Computed, not measured: Ba3Br at its PBEsol-relaxed geometry at the meta-GGA SCAN level of DFT.

Properties
Crystal system   hexagonal
Energy relative to the elements, uncorrected   -857.3 meV per atom
Distance to the lowest polymorph of the same formula   25 meV per atom
Density of states at the Fermi level   2.67 states/eV per cell

```
Ba3Br
1.0
4.3144 0.0000 0.0000
-2.1572 3.7363 0.0000
0.0000 0.0000 12.0033
Ba Br
3 1
Direct
0.0000 0.0000 0.0000
0.6667 0.3333 0.2998
0.6667 0.3333 0.7002
0.0000 0.0000 0.5000
```

=====

No. 5
Computed, not measured: Ba2Br at its PBEsol-relaxed geometry at the meta-GGA SCAN level of DFT.

Properties
Crystal system   orthorhombic
Energy relative to the elements, uncorrected   -1178.7 meV per atom
Distance to the lowest polymorph of the same formula   0 meV per atom
Density of states at the Fermi level   3.72 states/eV per cell

```
Ba2Br
1.0
2.1812 -9.1254 0.0000
2.1812 9.1254 0.0000
0.0000 0.0000 6.7341
Ba Br
4 2
Direct
0.0583 0.9417 0.7500
0.3385 0.6615 0.7500
0.6615 0.3385 0.2500
0.9417 0.0583 0.2500
0.3015 0.6985 0.2500
0.6985 0.3015 0.7500
```

=====

No. 6
Computed, not measured: Ba2Br at its PBEsol-relaxed geometry at the meta-GGA SCAN level of DFT.

Properties
Crystal system   orthorhombic
Energy relative to the elements, uncorrected   -994.3 meV per atom
Distance to the lowest polymorph of the same formula   184 meV per atom
Density of states at the Fermi level   5.88 states/eV per cell

```
Ba2Br
1.0
1.9760 -10.5012 0.0000
1.9760 10.5012 0.0000
0.0000 0.0000 5.6834
Ba Br
4 2
Direct
0.0756 0.9244 0.7500
0.2079 0.7921 0.2500
0.7921 0.2079 0.7500
0.9244 0.0756 0.2500
0.4394 0.5606 0.7500
0.5606 0.4394 0.2500
```